DFT (PBEsol) results for a geometry-optimized Mn3Cr3P2 structure.

Cell: 4.376 6.633 6.671 Å, 83.48 70.86 70.74°
Fractional coordinates of all 16 atoms:
Mn  0.047  0.321  0.610
Cr  0.146  0.184  0.973
Mn  0.638  0.378  0.325
Cr  0.303  0.816  0.027
Cr  0.666  0.024  0.179
Cr  0.017  0.049  0.395
P  0.203  0.342  0.247
Mn  0.934  0.608  0.051
Cr  0.462  0.951  0.605
P  0.468  0.742  0.332
Mn  0.593  0.392  0.949
P  0.543  0.258  0.668
Mn  0.978  0.679  0.390
Cr  0.869  0.976  0.821
P  0.792  0.658  0.753
Mn  0.342  0.622  0.675

Raw total energy (eV per atom): -9.371
SG: C2
Crystal system: monoclinic
Calculated formation energy (eV per atom): -0.422



DFT (PBEsol) results for a geometry-optimized MnCrP2S structure.

Cell: 4.133 4.133 5.020 Å, 90.00 90.00 90.00°
Fractional coordinates of all 5 atoms:
Mn  0.000  0.000  0.000
S  0.000  0.000  0.500
P  0.500  0.000  0.000
P  0.000  0.500  0.000
Cr  0.500  0.500  0.500

Raw total energy (eV per atom): -6.676
Formation energy (no corrections) (kJ/mol of formula units): 250
SG: P4/mmm
Crystal system: tetragonal



DFT (PBEsol) results for a geometry-optimized MnCrPt2 structure.

Cell: 2.743 3.705 5.422 Å, 90.00 90.00 90.00°
Fractional coordinates of all 4 atoms:
Pt  0.000  0.000  0.753
Cr  0.500  0.500  0.000
Pt  0.000  0.000  0.247
Mn  0.500  0.500  0.500

Raw total energy (eV per atom): -8.709
SG: Pmmm
Crystal system: orthorhombic
Calculated formation energy (eV per atom): -0.227



DFT (PBEsol) results for a geometry-optimized MnCrPt2 structure.

Cell: 2.716 2.716 8.574 Å, 80.89 80.89 60.00°
Fractional coordinates of all 4 atoms:
Pt  0.994  0.994  0.018
Mn  0.243  0.243  0.271
Pt  0.756  0.756  0.731
Cr  0.507  0.507  0.480

Raw total energy (eV per atom): -8.462
SG: R3m
Crystal system: trigonal
Calculated formation energy (eV per atom): 0.021



DFT (PBEsol) results for a geometry-optimized MnCrPt2 structure.

Cell: 2.648 2.648 7.520 Å, 90.00 90.00 90.00°
Fractional coordinates of all 4 atoms:
Pt  0.500  0.500  0.271
Cr  0.000  0.000  0.509
Mn  0.500  0.500  0.738
Pt  0.000  0.000  0.982

Raw total energy (eV per atom): -8.554
SG: P4mm
Crystal system: tetragonal
Calculated formation energy (eV per atom): -0.072



DFT (PBEsol) results for a geometry-optimized MnCrPt2 structure.

Cell: 4.314 4.314 4.314 Å, 60.00 60.00 60.00°
Fractional coordinates of all 4 atoms:
Mn  0.250  0.250  0.250
Cr  0.500  0.500  0.500
Pt  0.000  0.000  0.000
Pt  0.750  0.750  0.750

Raw total energy (eV per atom): -8.479
SG: F-43m
Crystal system: cubic
Calculated formation energy (eV per atom): 0.004



DFT (PBEsol) results for a geometry-optimized MnCrRe structure.

Cell: 2.627 2.627 6.208 Å, 90.00 90.00 120.00°
Fractional coordinates of all 3 atoms:
Re  0.333  0.667  0.338
Mn  0.667  0.333  0.680
Cr  0.000  0.000  0.982

Raw total energy (eV per atom): -10.869
SG: P3m1
Crystal system: trigonal
Calculated formation energy (eV per atom): 0.243



DFT (PBEsol) results for a geometry-optimized MnCrRe3 structure.

Cell: 4.378 4.378 4.378 Å, 90.00 90.00 90.00°
Fractional coordinates of all 5 atoms:
Re  0.500  0.000  0.000
Mn  0.500  0.500  0.500
Re  0.000  0.000  0.500
Cr  0.000  0.000  0.000
Re  0.000  0.500  0.000

Raw total energy (eV per atom): -10.329
SG: Pm-3m
Crystal system: cubic
Calculated formation energy (eV per atom): 1.670